NaAc3Co2O9 PBE with a Hubbard U relaxed; VASP energy = -6.7512 eV/atom; size of the total moment = 2.064 Bohr magnetons per cell
1.0
5.585 0.000 0.000
-2.793 4.837 0.000
0.000 0.000 6.899
Na Ac Co O
1 3 2 9
direct
0.000 0.000 0.000 Na
0.000 0.000 0.500 Ac
0.333 0.667 0.171 Ac
0.667 0.333 0.829 Ac
0.333 0.667 0.667 Co
0.667 0.333 0.333 Co
0.000 0.500 0.500 O
0.179 0.357 0.816 O
0.179 0.821 0.816 O
0.357 0.179 0.184 O
0.500 0.000 0.500 O
0.500 0.500 0.500 O
0.643 0.821 0.816 O
0.821 0.179 0.184 O
0.821 0.643 0.184 O